# 1
A plane-wave DFT calculation with PBE was carried out for a relaxed structure of CdFeSe2.

Output
The value obtained for the formation energy (no corrections) is -0.13 eV/atom. The space-group type is Immm (71). The value obtained for the magnetic moment is 0.5178 μB/atom.

Unit cell a=6.641 b=6.641 c=6.641 alpha=150.20 beta=139.39 gamma=51.17
Atoms (fractional coordinates):
Cd (0.000, 0.000, 0.000)
Fe (0.500, 0.500, 0.000)
Se (0.360, 0.860, 0.500)
Se (0.640, 0.140, 0.500)


# 2
A plane-wave DFT calculation with PBE was carried out for a relaxed structure of CdFe2Se2.

Output
The value obtained for the formation energy (no corrections) is 0.20 eV/atom. The space-group type is I4/mmm (139). The value obtained for the magnetic moment is 1.0825 μB/atom.

Unit cell a=5.227 b=5.227 c=5.227 alpha=124.71 beta=124.71 gamma=82.02
Atoms (fractional coordinates):
Cd (0.000, 0.000, 0.000)
Fe (0.354, 0.354, 0.000)
Fe (0.646, 0.646, 0.000)
Se (0.250, 0.750, 0.500)
Se (0.750, 0.250, 0.500)


# 3
A plane-wave DFT calculation with PBE was carried out for a relaxed structure of CdFeSe3.

Output
The value obtained for the formation energy (no corrections) is 0.19 eV/atom. The space-group type is Pm-3m (221). The value obtained for the magnetic moment is 0.6647 μB/atom.

Unit cell a=4.813 b=4.813 c=4.813 alpha=90.00 beta=90.00 gamma=90.00
Atoms (fractional coordinates):
Cd (0.000, 0.000, 0.000)
Fe (0.500, 0.500, 0.500)
Se (0.000, 0.500, 0.500)
Se (0.500, 0.000, 0.500)
Se (0.500, 0.500, 0.000)


The lowest magnetic moment belongs to which entry? CdFeSe2